Compound: SmI2O8
Source: the Open Quantum Materials Database
Functional: GGA-PBE
Structure: optimized geometry

Computed properties:
As for the calculated volume: 176.4 Å³/f.u. The total moment comes out at 0.3 μB/f.u. As for the total energy: -5.065 eV/atom.

Lattice parameters (Å, degrees): 6.297 6.297 5.137 90.00 90.00 120.00
Fractional positions:
O (0.183, 0.346, 0.251)
O (0.837, 0.183, 0.749)
O (0.346, 0.163, 0.749)
O (0.667, 0.333, 0.298)
O (0.333, 0.667, 0.702)
O (0.654, 0.837, 0.251)
O (0.817, 0.654, 0.749)
O (0.163, 0.817, 0.251)
I (0.667, 0.333, 0.646)
I (0.333, 0.667, 0.354)
Sm (0.000, 0.000, 0.000)

---

Compound: Sm3IO4
Source: the Open Quantum Materials Database
Functional: GGA-PBE
Structure: optimized geometry

Computed properties:
As for the calculated volume: 151.3 Å³/f.u. The total moment comes out at 0.0 μB/f.u. As for the total energy: -7.518 eV/atom.

Lattice parameters (Å, degrees): 4.010 4.010 9.407 90.00 90.00 90.00
Fractional positions:
Sm (0.000, 0.000, 0.000)
Sm (0.500, 0.500, 0.746)
Sm (0.500, 0.500, 0.254)
O (0.500, 0.000, 0.151)
O (0.000, 0.500, 0.151)
O (0.000, 0.500, 0.849)
O (0.500, 0.000, 0.849)
I (0.000, 0.000, 0.500)